Compound: CuAsWO6
Source: Alexandria
Functional: PBE+U
Structure: optimized geometry

Cell: 5.089 5.089 9.283 Å, 90.00 90.00 120.00°
Positions (direct):
Cu (0.000, 0.000, 0.000)
Cu (0.000, 0.000, 0.500)
As (0.333, 0.667, 0.250)
As (0.667, 0.333, 0.750)
W (0.667, 0.333, 0.250)
W (0.333, 0.667, 0.750)
O (0.628, 0.639, 0.137)
O (0.011, 0.372, 0.137)
O (0.372, 0.011, 0.637)
O (0.989, 0.628, 0.863)
O (0.361, 0.372, 0.363)
O (0.011, 0.639, 0.363)
O (0.639, 0.011, 0.863)
O (0.628, 0.989, 0.363)
O (0.989, 0.361, 0.637)
O (0.361, 0.989, 0.137)
O (0.639, 0.628, 0.637)
O (0.372, 0.361, 0.863)

Results
Calculated total energy   -6.333 eV/atom